(1)
VASP calculation (PBE) on a geometry-optimized SnHg3I8 structure.

Unit cell a=4.6103 b=12.6214 c=11.3686 alpha=107.75 beta=101.70 gamma=90.00
With the nearest neighbours (Å) after each atom.
Positions (direct):
1 I 0.4272 0.6694 0.8544  1 Hg 2.90, 1 Sn 2.95
2 I 0.6484 0.0158 0.2969  2 Hg 2.83-2.89
3 I 0.7614 0.6310 0.5227  2 Sn 3.06
4 I 0.2255 0.3229 0.4510  2 Hg 2.91
5 I 0.1008 0.6975 0.2015  2 Hg 2.91
6 I 0.4512 0.9967 0.9024  1 Hg 2.81
7 I 0.8647 0.2498 0.7294  2 Hg 2.87
8 I 0.5567 0.3608 0.1135  2 Hg 2.80-2.91
9 Hg 0.6443 0.2420 0.2886  4 I 2.80-2.91
10 Hg 0.4294 0.2041 0.8587  4 I 2.81-2.91
11 Hg 0.5601 0.7986 0.1201  4 I 2.83-2.91
12 Sn 0.3287 0.7812 0.6574  4 I 2.95-3.20

Computed properties:
Energy relative to the elements, uncorrected: -0.281 eV per atom

***

(2)
VASP calculation (PBE) on a geometry-optimized La2Sc2Ge structure.

Unit cell a=4.0880 b=4.0880 c=8.8793 alpha=76.69 beta=76.69 gamma=90.00
With the nearest neighbours (Å) after each atom.
Positions (direct):
1 Sc 0.5766 0.5766 0.8468  1 Sc 2.57
2 Sc 0.4234 0.4234 0.1532  1 Sc 2.57
3 La 0.2500 0.7500 0.5000  4 La 2.89
4 La 0.7500 0.2500 0.5000  4 La 2.89
5 Ge 0.0000 0.0000 0.0000  8 Sc 3.16

Computed properties:
E_form: 0.44 eV/atom
N(E_F): 10.46 states/eV per cell

***

no.,magnetization (μB per cell)
1,0.000
2,0.004